Here is a relaxed structure of Na3Pm2NdO6 from the Alexandria database. Energies are from GGA-PBE.

abc: 6.182 6.182 5.996
angles: 99.89 99.89 120.00
Atoms (fractional coordinates):
O  0.592  0.928  0.784
O  0.408  0.072  0.216
O  0.264  0.264  0.784
O  0.928  0.592  0.784
O  0.736  0.736  0.216
O  0.072  0.408  0.216
Na  0.500  0.500  0.500
Na  0.168  0.832  0.500
Na  0.832  0.168  0.500
Pm  0.333  0.667  0.000
Pm  0.667  0.333  0.000
Nd  0.000  0.000  0.000

## Properties
Total moment ... 0.00 μB per formula unit
Space group ... C2/m, No. 12
Formation energy from raw total energies ... -2.64 eV/atom

=====

Here is a relaxed structure of AcLa9Er4 from the Alexandria database. Energies are from GGA-PBE.

abc: 11.678 10.079 10.079
angles: 120.00 90.00 90.00
Atoms (fractional coordinates):
La  0.976  0.592  0.796
La  0.476  0.796  0.204
La  0.024  0.796  0.204
La  0.750  0.913  0.456
La  0.250  0.456  0.544
La  0.524  0.592  0.796
La  0.476  0.796  0.592
La  0.024  0.408  0.204
La  0.476  0.408  0.204
La  0.024  0.796  0.592
La  0.524  0.204  0.408
La  0.750  0.544  0.087
La  0.250  0.456  0.913
La  0.976  0.204  0.408
La  0.750  0.544  0.456
La  0.976  0.204  0.796
La  0.524  0.204  0.796
La  0.250  0.087  0.544
Er  0.250  0.782  0.891
Er  0.250  0.109  0.218
Er  0.750  0.218  0.109
Er  0.750  0.891  0.109
Er  0.750  0.891  0.782
Er  0.500  0.000  0.000
Er  0.000  0.000  0.000
Er  0.250  0.109  0.891
Ac  0.250  0.667  0.333
Ac  0.750  0.333  0.667

## Properties
Total moment ... 0.00 μB per formula unit
Space group ... P6_3/mmc, No. 194
Energy of formation from the pure elements ... 0.156 eV per atom

=====

Here is a relaxed structure of PdSe2Cl from the Alexandria database. Energies are from GGA-PBE.

abc: 11.806 11.806 11.806
angles: 14.09 14.09 14.09
Atoms (fractional coordinates):
Se  0.069  0.069  0.069
Se  0.931  0.931  0.931
Cl  0.500  0.500  0.500
Pd  0.000  0.000  0.000

## Properties
Energy above the lowest structure with this stoichiometry ... 10.323 kcal/mol of atoms
Total moment ... 0.00 μB per formula unit
Space group ... R-3m, No. 166
Formation energy from raw total energies ... 0.17 eV/atom